12
Lattice="4.187 0.000 0.000 0.000 5.919 0.000 0.000 0.000 12.549" Properties=species:S:1:pos:R:3 comment="Tb2NdAs3, optimized geometry, DFT PBE-GGA" space_group="Immm, No. 71" pbc="T T T"
Tb 0.000 0.000 2.084
Tb 0.000 0.000 10.465
Tb 2.093 2.960 4.191
Tb 2.093 2.960 8.358
Nd 0.000 0.000 6.274
Nd 2.093 2.960 0.000
As 0.000 2.960 2.145
As 0.000 2.960 6.274
As 0.000 2.960 10.404
As 2.093 0.000 0.000
As 2.093 0.000 4.129
As 2.093 0.000 8.419

***

12
Lattice="4.168 0.000 0.000 -2.084 3.610 0.000 0.000 0.000 21.483" Properties=species:S:1:pos:R:3 comment="TbNdAs2, optimized geometry, DFT PBE-GGA" de_polymorph_kj_per_mol_fu=63 space_group="R3m, No. 160" pbc="T T T"
Tb 0.000 0.000 0.000
Tb 0.000 2.407 14.322
Tb 2.084 1.203 7.161
Nd 0.000 0.000 3.684
Nd 0.000 2.407 18.006
Nd 2.084 1.203 10.845
As 0.000 0.000 12.609
As 0.000 0.000 16.126
As 0.000 2.407 5.448
As 0.000 2.407 8.965
As 2.084 1.203 1.804
As 2.084 1.203 19.770

***

10
Lattice="-2.084 2.946 10.412 2.084 -2.946 10.412 2.084 2.946 -10.412" Properties=species:S:1:pos:R:3 comment="Tb4NdAs5, optimized geometry, DFT PBE-GGA" space_group="Immm, No. 71" pbc="T T T"
Tb 0.000 0.000 2.095
Tb 0.000 0.000 6.220
Tb 0.000 0.000 14.605
Tb 0.000 0.000 18.730
Nd 0.000 0.000 10.412
As 2.084 0.000 0.000
As 2.084 0.000 4.158
As 2.084 0.000 8.267
As 0.000 2.946 2.145
As 0.000 2.946 6.254

***

6
Lattice="3.787 0.000 0.000 0.000 3.787 0.000 0.000 0.000 11.461" Properties=species:S:1:pos:R:3 comment="TbNdAs, optimized geometry, DFT PBE-GGA" space_group="I4mm, No. 107" pbc="T T T"
Tb 0.000 0.000 0.000
Tb 1.893 1.893 5.731
Nd 0.000 0.000 3.224
Nd 1.893 1.893 8.955
As 0.000 0.000 7.160
As 1.893 1.893 1.429

***

3
Lattice="4.041 0.000 0.000 -2.020 3.499 0.000 0.000 0.000 6.650" Properties=species:S:1:pos:R:3 comment="TbNdAs, optimized geometry, DFT PBE-GGA" space_group="P3m1, No. 156" pbc="T T T"
Tb 0.000 0.000 0.000
Nd 0.000 2.333 3.211
As 2.020 1.166 5.000

***

12
Lattice="3.826 0.000 0.000 -1.913 3.313 0.000 0.000 0.000 31.315" Properties=species:S:1:pos:R:3 comment="Tb2NdAs, optimized geometry, DFT PBE-GGA" space_group="R-3m, No. 166" pbc="T T T"
Tb 0.000 0.000 3.499
Tb 0.000 0.000 27.816
Tb 0.000 2.209 17.377
Tb 0.000 2.209 24.376
Tb 1.913 1.104 6.939
Tb 1.913 1.104 13.937
Nd 0.000 0.000 0.000
Nd 0.000 2.209 20.876
Nd 1.913 1.104 10.438
As 0.000 0.000 15.657
As 0.000 2.209 5.219
As 1.913 1.104 26.096

***

12
Lattice="4.209 0.000 0.000 -2.104 3.645 0.000 0.000 0.000 20.586" Properties=species:S:1:pos:R:3 comment="TbNdAs2, optimized geometry, DFT PBE-GGA" de_polymorph_kj_per_mol_fu=0 space_group="R-3m, No. 166" pbc="T T T"
Tb 0.000 0.000 0.000
Tb 0.000 2.430 13.724
Tb 2.104 1.215 6.862
Nd 0.000 0.000 10.293
Nd 0.000 2.430 3.431
Nd 2.104 1.215 17.155
As 0.000 0.000 5.203
As 0.000 0.000 15.383
As 0.000 2.430 8.521
As 0.000 2.430 18.926
As 2.104 1.215 1.659
As 2.104 1.215 12.065

***

16
Lattice="4.224 2.438 6.896 -4.224 2.438 6.896 0.000 -4.877 6.896" Properties=species:S:1:pos:R:3 comment="Tb3Nd5As8, optimized geometry, DFT PBE-GGA" space_group="R-3m, No. 166" pbc="T T T"
Tb -2.112 -1.219 6.896
Tb -2.112 1.219 13.793
Tb 0.000 2.438 6.896
Nd 0.000 0.000 0.000
Nd -4.224 0.000 10.345
Nd -2.112 1.219 3.448
Nd 2.112 1.219 3.448
Nd 0.000 0.000 10.345
As 0.000 -2.412 8.583
As -2.089 1.206 8.583
As 0.000 0.000 5.229
As -2.089 -1.206 12.106
As 2.089 1.206 8.583
As 0.000 0.000 15.461
As 2.089 -1.206 12.106
As 0.000 2.412 12.106

***

In μB per cell, the magnetization values for the records above are, in order, 0.0 0.0 0.0 1.8 1.1 3.0 0.0 0.0.
In meV per atom, the energy of formation from the pure elements values for the records above are, in order, -1525 -1360 -1531 -719 -849 -429 -1523 -1518.